[1]
First-principles (PBE) data for a relaxed AgH3Os crystal, as listed in the Alexandria database.

Cell and atoms, written as CIF:
```
data_AgH3Os
_space_group_name_H-M_alt 'P 1'
_space_group_IT_number 1
_cell_length_a 3.513
_cell_length_b 3.513
_cell_length_c 3.513
_cell_angle_alpha 90.00
_cell_angle_beta 90.00
_cell_angle_gamma 90.00
loop_
_space_group_symop_operation_xyz
'x,y,z'
loop_
_atom_site_label
_atom_site_type_symbol
_atom_site_fract_x
_atom_site_fract_y
_atom_site_fract_z
H1 H 0.000 0.500 0.000
H2 H 0.000 0.000 0.500
H3 H 0.500 0.000 0.000
Os1 Os 0.500 0.500 0.500
Ag1 Ag 0.000 0.000 0.000
```

Computed properties:
Crystal system: cubic
VASP energy, eV/atom: -3.6127
Magnetic moment, μB/f.u.: 0.097

---

[2]
First-principles (PBE) data for a relaxed SrOsPt2 crystal, as listed in the Alexandria database.

Cell and atoms, written as CIF:
```
data_SrOsPt2
_space_group_name_H-M_alt 'P 1'
_space_group_IT_number 1
_cell_length_a 2.940
_cell_length_b 2.940
_cell_length_c 8.520
_cell_angle_alpha 90.00
_cell_angle_beta 90.00
_cell_angle_gamma 90.00
loop_
_space_group_symop_operation_xyz
'x,y,z'
loop_
_atom_site_label
_atom_site_type_symbol
_atom_site_fract_x
_atom_site_fract_y
_atom_site_fract_z
Os1 Os 0.500 0.500 0.793
Pt1 Pt 0.000 0.000 0.991
Pt2 Pt 0.500 0.500 0.218
Sr1 Sr 0.000 0.000 0.498
```

Computed properties:
Formation energy, eV per atom: 0.253
Crystal system: tetragonal
Magnetic moment, μB/f.u.: 0.000

---

[3]
First-principles (PBE) data for a relaxed AcGa6Pd2 crystal, as listed in the Alexandria database.

Cell and atoms, written as CIF:
```
data_AcGa6Pd2
_space_group_name_H-M_alt 'P 1'
_space_group_IT_number 1
_cell_length_a 4.316
_cell_length_b 7.197
_cell_length_c 7.197
_cell_angle_alpha 59.04
_cell_angle_beta 72.55
_cell_angle_gamma 72.55
loop_
_space_group_symop_operation_xyz
'x,y,z'
loop_
_atom_site_label
_atom_site_type_symbol
_atom_site_fract_x
_atom_site_fract_y
_atom_site_fract_z
Ac1 Ac 0.000 0.000 0.000
Ga1 Ga 0.698 0.002 0.601
Ga2 Ga 0.302 0.998 0.399
Ga3 Ga 0.302 0.399 0.998
Ga4 Ga 0.500 0.669 0.331
Ga5 Ga 0.500 0.331 0.669
Ga6 Ga 0.698 0.601 0.002
Pd1 Pd 0.881 0.619 0.619
Pd2 Pd 0.119 0.381 0.381
```

Computed properties:
Formation energy, eV per atom: -0.408
Crystal system: orthorhombic
Magnetic moment, μB/f.u.: 0.000

---

[4]
First-principles (PBE) data for a relaxed SiNiSe crystal, as listed in the Alexandria database.

Cell and atoms, written as CIF:
```
data_SiNiSe
_space_group_name_H-M_alt 'P 1'
_space_group_IT_number 1
_cell_length_a 5.930
_cell_length_b 5.930
_cell_length_c 5.930
_cell_angle_alpha 153.86
_cell_angle_beta 145.82
_cell_angle_gamma 43.54
loop_
_space_group_symop_operation_xyz
'x,y,z'
loop_
_atom_site_label
_atom_site_type_symbol
_atom_site_fract_x
_atom_site_fract_y
_atom_site_fract_z
Ni1 Ni 0.018 0.018 0.000
Se1 Se 0.374 0.374 0.000
Si1 Si 0.607 0.607 0.000
```

Computed properties:
Crystal system: orthorhombic
Formation energy (no corrections), eV per atom: 0.112
Magnetic moment, μB/f.u.: 0.000

---

[5]
First-principles (PBE) data for a relaxed TiTcGe4 crystal, as listed in the Alexandria database.

Cell and atoms, written as CIF:
```
data_TiTcGe4
_space_group_name_H-M_alt 'P 1'
_space_group_IT_number 1
_cell_length_a 4.827
_cell_length_b 7.708
_cell_length_c 6.220
_cell_angle_alpha 90.00
_cell_angle_beta 120.94
_cell_angle_gamma 90.00
loop_
_space_group_symop_operation_xyz
'x,y,z'
loop_
_atom_site_label
_atom_site_type_symbol
_atom_site_fract_x
_atom_site_fract_y
_atom_site_fract_z
Ti1 Ti 0.000 0.000 0.000
Ti2 Ti 0.500 0.500 0.000
Tc1 Tc 0.500 0.000 0.500
Tc2 Tc 0.000 0.500 0.500
Ge1 Ge 0.065 0.661 0.152
Ge2 Ge 0.435 0.161 0.848
Ge3 Ge 0.398 0.339 0.358
Ge4 Ge 0.102 0.839 0.642
Ge5 Ge 0.935 0.339 0.848
Ge6 Ge 0.565 0.839 0.152
Ge7 Ge 0.602 0.661 0.642
Ge8 Ge 0.898 0.161 0.358
```

Computed properties:
Formation energy, eV per atom: 0.039
Crystal system: monoclinic
Magnetic moment, μB/f.u.: 0.000

---

[6]
First-principles (PBE) data for a relaxed Er12TlFe6 crystal, as listed in the Alexandria database.

Cell and atoms, written as CIF:
```
data_Er12TlFe6
_space_group_name_H-M_alt 'P 1'
_space_group_IT_number 1
_cell_length_a 8.322
_cell_length_b 8.322
_cell_length_c 8.322
_cell_angle_alpha 109.47
_cell_angle_beta 109.47
_cell_angle_gamma 109.47
loop_
_space_group_symop_operation_xyz
'x,y,z'
loop_
_atom_site_label
_atom_site_type_symbol
_atom_site_fract_x
_atom_site_fract_y
_atom_site_fract_z
Er1 Er 0.298 0.103 0.805
Er2 Er 0.298 0.493 0.195
Er3 Er 0.702 0.507 0.805
Er4 Er 0.702 0.897 0.195
Er5 Er 0.103 0.805 0.298
Er6 Er 0.493 0.195 0.298
Er7 Er 0.507 0.805 0.702
Er8 Er 0.897 0.195 0.702
Er9 Er 0.805 0.298 0.103
Er10 Er 0.195 0.298 0.493
Er11 Er 0.805 0.702 0.507
Er12 Er 0.195 0.702 0.897
Tl1 Tl 0.000 0.000 0.000
Fe1 Fe 0.390 0.500 0.890
Fe2 Fe 0.610 0.500 0.110
Fe3 Fe 0.500 0.890 0.390
Fe4 Fe 0.500 0.110 0.610
Fe5 Fe 0.890 0.390 0.500
Fe6 Fe 0.110 0.610 0.500
```

Computed properties:
Formation energy, eV per atom: -0.090
Crystal system: cubic
Magnetic moment, μB/f.u.: 6.535

---

[7]
First-principles (PBE) data for a relaxed KSr2As crystal, as listed in the Alexandria database.

Cell and atoms, written as CIF:
```
data_KSr2As
_space_group_name_H-M_alt 'P 1'
_space_group_IT_number 1
_cell_length_a 4.371
_cell_length_b 4.587
_cell_length_c 9.475
_cell_angle_alpha 75.92
_cell_angle_beta 90.00
_cell_angle_gamma 90.00
loop_
_space_group_symop_operation_xyz
'x,y,z'
loop_
_atom_site_label
_atom_site_type_symbol
_atom_site_fract_x
_atom_site_fract_y
_atom_site_fract_z
As1 As 0.000 0.743 0.389
K1 K 0.500 0.588 0.697
Sr1 Sr 0.000 0.908 0.061
Sr2 Sr 0.500 0.261 0.354
```

Computed properties:
Formation energy, eV per atom: -0.518
Crystal system: monoclinic
Magnetic moment, μB/f.u.: 0.211

---

[8]
First-principles (PBE) data for a relaxed Nd3YEr2 crystal, as listed in the Alexandria database.

Cell and atoms, written as CIF:
```
data_Nd3YEr2
_space_group_name_H-M_alt 'P 1'
_space_group_IT_number 1
_cell_length_a 5.678
_cell_length_b 9.032
_cell_length_c 9.032
_cell_angle_alpha 112.87
_cell_angle_beta 90.00
_cell_angle_gamma 90.00
loop_
_space_group_symop_operation_xyz
'x,y,z'
loop_
_atom_site_label
_atom_site_type_symbol
_atom_site_fract_x
_atom_site_fract_y
_atom_site_fract_z
Nd1 Nd 0.993 0.888 0.377
Nd2 Nd 0.493 0.623 0.112
Nd3 Nd 0.993 0.377 0.888
Nd4 Nd 0.493 0.112 0.623
Nd5 Nd 0.493 0.914 0.914
Nd6 Nd 0.993 0.086 0.086
Y1 Y 0.993 0.727 0.727
Y2 Y 0.493 0.273 0.273
Er1 Er 0.493 0.704 0.493
Er2 Er 0.993 0.507 0.296
Er3 Er 0.493 0.493 0.704
Er4 Er 0.993 0.296 0.507
```

Computed properties:
Formation energy, eV per atom: 0.285
Crystal system: orthorhombic
Magnetic moment, μB/f.u.: 0.000

---

Question: Which value of magnetic moment does entry 4 give?
Answer: 0.000 μB/f.u.

---

Copy entry 1 word for word.
First-principles (PBE) data for a relaxed AgH3Os crystal, as listed in the Alexandria database.

Cell and atoms, written as CIF:
```
data_AgH3Os
_space_group_name_H-M_alt 'P 1'
_space_group_IT_number 1
_cell_length_a 3.513
_cell_length_b 3.513
_cell_length_c 3.513
_cell_angle_alpha 90.00
_cell_angle_beta 90.00
_cell_angle_gamma 90.00
loop_
_space_group_symop_operation_xyz
'x,y,z'
loop_
_atom_site_label
_atom_site_type_symbol
_atom_site_fract_x
_atom_site_fract_y
_atom_site_fract_z
H1 H 0.000 0.500 0.000
H2 H 0.000 0.000 0.500
H3 H 0.500 0.000 0.000
Os1 Os 0.500 0.500 0.500
Ag1 Ag 0.000 0.000 0.000
```

Computed properties:
Crystal system: cubic
VASP energy, eV/atom: -3.6127
Magnetic moment, μB/f.u.: 0.097

---

Question: Look up the magnetic moment of the sixth one.
Answer: 6.535 μB/f.u.

---

Question: Which formula does entry 6 have?
Answer: Er12TlFe6